[1]
10
Lattice="4.294 0.000 0.000 0.000 4.294 0.000 0.000 0.000 10.110" Properties=species:S:1:pos:R:3 comment="Pr2As4IrRh3 | the Alexandria database | GGA-PBE | optimized geometry" n_ef_per_ev_cell=5.68 volume_a3_per_atom=18.6 magnetic_moment_mub_per_fu=0.00 ef_ev_per_fu=-8.8 pbc="T T T"
Pr 0.000 2.147 2.497
Pr 2.147 0.000 7.613
As 0.000 0.000 0.000
As 0.000 2.147 6.445
As 2.147 0.000 3.665
As 2.147 2.147 0.000
Ir 0.000 0.000 5.055
Rh 0.000 2.147 8.884
Rh 2.147 0.000 1.226
Rh 2.147 2.147 5.055

[2]
18
Lattice="10.840 -4.459 0.000 10.840 4.459 0.000 -4.620 0.000 8.903" Properties=species:S:1:pos:R:3 comment="RbTe2I6 | the Alexandria database | GGA-PBE | optimized geometry" n_ef_per_ev_cell=9.45 volume_a3_per_atom=47.8 formation_energy_uncorrected_ev_per_atom=-0.359 magnetic_moment_mub_per_fu=0.00 pbc="T T T"
Rb 7.376 4.442 6.677
Rb 9.685 -4.442 2.226
Te 4.269 2.212 2.227
Te 1.959 -2.212 6.678
Te 15.102 2.212 2.224
Te 12.792 -2.212 6.675
I 4.566 2.197 8.044
I 6.887 2.172 3.580
I 3.327 0.000 4.033
I 1.017 0.000 8.484
I 10.185 2.197 5.310
I 12.484 2.172 0.871
I 4.577 -2.172 8.032
I 6.876 -2.197 3.593
I 16.044 0.000 0.419
I 13.734 0.000 4.870
I 10.174 -2.172 5.322
I 12.495 -2.197 0.859

[3]
4
Lattice="2.128 1.229 6.842 -2.128 1.229 6.842 0.000 -2.457 6.842" Properties=species:S:1:pos:R:3 comment="Th2ReAs | the Alexandria database | GGA-PBE | optimized geometry" n_ef_per_ev_cell=6.17 volume_a3_per_atom=26.8 magnetic_moment_mub_per_fu=0.00 ef_ev_per_fu=-1.4 pbc="T T T"
Th 0.000 0.000 4.966
Th 0.000 0.000 15.561
Re 0.000 0.000 10.263
As 0.000 0.000 0.000